This record from Alexandria via LeMat-Bulk describes a relaxed LiCa2F2 crystal. The functional is PBE-GGA.

Values from the calculation:
As for the density of states at the Fermi level: 2.163 states/eV/cell. As for the mass density: 1.99 Mg/m³. Its uncorrected formation energy is -2.269 eV per atom. As for the volume: 20.9 Å³ per atom.

```
LiCa2F2
1.0
4.022 0.000 0.000
0.000 4.022 0.000
2.011 2.011 6.467
Ca F Li
2 2 1
direct
0.349 0.349 0.303
0.651 0.651 0.697
0.750 0.250 0.500
0.250 0.750 0.500
0.000 0.000 0.000
```


This record from Alexandria via LeMat-Bulk describes a relaxed LiCa3F crystal. The functional is PBE-GGA.

Values from the calculation:
As for the density of states at the Fermi level: 3.586 states/eV/cell. As for the mass density: 1.74 Mg/m³. Its uncorrected formation energy is -0.972 eV per atom. As for the volume: 27.9 Å³ per atom. The value obtained for the energy above the lowest structure with this stoichiometry is 0 meV/atom.

```
LiCa3F
1.0
-3.537 2.673 -2.687
-3.425 -0.681 3.831
1.622 4.389 2.231
F Ca Li
1 3 1
direct
0.000 0.000 0.000
0.000 0.500 0.000
0.000 0.000 0.500
0.500 0.000 0.000
0.500 0.500 0.500
```


This record from Alexandria via LeMat-Bulk describes a relaxed LiCa2F crystal. The functional is PBE-GGA.

Values from the calculation:
As for the density of states at the Fermi level: 2.723 states/eV/cell. As for the mass density: 1.69 Mg/m³. Its uncorrected formation energy is -0.720 eV per atom. As for the volume: 26.1 Å³ per atom. The value obtained for the energy above the lowest structure with this stoichiometry is 587 meV/atom.

```
LiCa2F
1.0
-3.080 -0.866 4.209
-3.726 -3.747 -0.176
0.571 -4.431 2.828
Li Ca F
1 2 1
direct
0.000 0.000 0.000
0.250 0.250 0.250
0.750 0.750 0.750
0.500 0.500 0.500
```


This record from Alexandria via LeMat-Bulk describes a relaxed LiCa2F crystal. The functional is PBE-GGA.

Values from the calculation:
As for the density of states at the Fermi level: 1.314 states/eV/cell. As for the mass density: 1.61 Mg/m³. Its uncorrected formation energy is -1.307 eV per atom. As for the volume: 27.4 Å³ per atom. The value obtained for the energy above the lowest structure with this stoichiometry is 0 meV/atom.

```
LiCa2F
1.0
-0.278 -4.493 -5.332
3.986 -4.480 3.567
-1.842 -6.363 0.892
Ca Li F
4 2 2
direct
0.375 0.274 0.750
0.024 0.625 0.250
0.726 0.125 0.250
0.875 0.976 0.750
0.250 0.750 0.500
0.500 0.500 0.000
0.000 0.000 0.000
0.750 0.250 0.500
```